Entry 1:
# Sr2RhW

A geometry-optimized Sr2RhW structure (PBE, Alexandria via LeMat-Bulk).

Results
E above lowest polymorph in eV/atom: 0.576
Crystal system: monoclinic
Formation enthalpy at 0 K in eV per atom: 0.968

Geometry as CIF:
```
data_Sr2RhW
_symmetry_space_group_name_H-M 'P 1'
_symmetry_Int_Tables_number 1
_symmetry_space_group_name_Hall 'P 1'
_cell_length_a 3.1536
_cell_length_b 4.9814
_cell_length_c 5.8924
_cell_angle_alpha 90.00
_cell_angle_beta 95.27
_cell_angle_gamma 90.00
loop_
_atom_site_label
_atom_site_type_symbol
_atom_site_fract_x
_atom_site_fract_y
_atom_site_fract_z
Sr1 Sr 0.0448 0.0000 0.2555
Sr2 Sr 0.9552 0.0000 0.7445
Rh1 Rh 0.5000 0.5000 0.5000
W1 W 0.5000 0.5000 0.0000
```

Entry 2:
# TlSb2Se

A geometry-optimized TlSb2Se structure (PBE, Alexandria via LeMat-Bulk).

Results
E_form (uncorrected) in eV per atom: 0.25
E above lowest polymorph in eV/atom: 0.357
Crystal system: cubic

Geometry as CIF:
```
data_TlSb2Se
_symmetry_space_group_name_H-M 'P 1'
_symmetry_Int_Tables_number 1
_symmetry_space_group_name_Hall 'P 1'
_cell_length_a 5.2999
_cell_length_b 5.2999
_cell_length_c 5.2999
_cell_angle_alpha 60.00
_cell_angle_beta 60.00
_cell_angle_gamma 60.00
loop_
_atom_site_label
_atom_site_type_symbol
_atom_site_fract_x
_atom_site_fract_y
_atom_site_fract_z
Tl1 Tl 0.0000 0.0000 0.0000
Sb1 Sb 0.2500 0.2500 0.2500
Sb2 Sb 0.7500 0.7500 0.7500
Se1 Se 0.5000 0.5000 0.5000
```